The following is a DFT calculation (GGA-PBE) of a relaxed structure of FeTeMo2.

a b c (Å): 8.406 8.406 8.406
angles (deg): 21.11 21.11 21.11
Each line ends with the local moment (μB).
Sites, in units of the cell vectors:
Mo 0.005 0.005 0.005  -0.08
Mo 0.495 0.495 0.495  -0.08
Te 0.250 0.250 0.250  0.02
Fe 0.750 0.750 0.750  2.43

Summary:
formation energy (no corrections)	0.579	eV/atom
SG	R-3m, No. 166
distance to the lowest polymorph of the same formula	260.6	meV/atom
total moment	2.359	Bohr magnetons per cell